(1)
Entry from Alexandria: a relaxed structure of BaMnCl2 (GGA-PBE).

Cell: 6.0127 6.0127 4.8558 Å, 76.38 76.38 43.05°
Site moments in Bohr magnetons follow the coordinates.
Sites, in units of the cell vectors:
1 Mn 0.5181 0.5181 0.6408  4.21
2 Ba 0.2557 0.2557 0.1798  -0.02
3 Cl 0.9891 0.9891 0.9841  0.07
4 Cl 0.7372 0.7372 0.6953  0.04

ΔE_f (raw) ... -0.95 eV per atom
Space group ... Cm (8)
Relative energy among the computed polymorphs ... 28.7 meV/atom
Magnetic moment ... 5.0 μB/cell

***

(2)
Entry from Alexandria: a relaxed structure of BaMnCl2 (GGA-PBE).

Cell: 4.3179 4.2010 7.2956 Å, 61.30 90.00 90.00°
Site moments in Bohr magnetons follow the coordinates.
Sites, in units of the cell vectors:
1 Mn 0.0000 0.5016 0.4030  4.32
2 Ba 0.5000 0.6908 0.7882  0.00
3 Cl 0.0000 0.0096 0.0071  0.03
4 Cl 0.5000 0.2981 0.3016  0.08

ΔE_f (raw) ... -0.98 eV per atom
Space group ... Pm (6)
Relative energy among the computed polymorphs ... 0.0 meV/atom
Magnetic moment ... 5.0 μB/cell

***

(3)
Entry from Alexandria: a relaxed structure of Ba2MnCl (GGA-PBE).

Cell: 4.6784 4.6784 6.8092 Å, 90.00 90.00 90.00°
Site moments in Bohr magnetons follow the coordinates.
Sites, in units of the cell vectors:
1 Ba 0.0000 0.0000 0.8747  -0.13
2 Ba 0.5000 0.5000 0.3749  -0.10
3 Cl 0.0000 0.0000 0.3751  -0.01
4 Mn 0.5000 0.5000 0.8753  3.82

ΔE_f (raw) ... -0.49 eV per atom
Space group ... P4/mmm (123)
Relative energy among the computed polymorphs ... 26.2 meV/atom
Magnetic moment ... 3.1 μB/cell

***

(4)
Entry from Alexandria: a relaxed structure of BaMnCl2 (GGA-PBE).

Cell: 5.7262 5.7262 5.4100 Å, 66.76 66.76 96.97°
Site moments in Bohr magnetons follow the coordinates.
Sites, in units of the cell vectors:
1 Mn 0.5000 0.0000 0.5000  4.39
2 Ba 0.0000 0.5000 0.5000  -0.02
3 Cl 0.0000 0.0000 0.0000  0.05
4 Cl 0.5000 0.5000 0.0000  0.05

ΔE_f (raw) ... -0.87 eV per atom
Space group ... C2/m (12)
Relative energy among the computed polymorphs ... 112.0 meV/atom
Magnetic moment ... 5.0 μB/cell

***

(5)
Entry from Alexandria: a relaxed structure of BaMnCl2 (GGA-PBE).

Cell: 3.8177 3.8177 10.3106 Å, 90.00 90.00 90.00°
Site moments in Bohr magnetons follow the coordinates.
Sites, in units of the cell vectors:
1 Mn 0.5000 0.5000 0.2500  4.50
2 Ba 0.5000 0.5000 0.7500  0.00
3 Cl 0.0000 0.0000 0.9139  0.00
4 Cl 0.0000 0.0000 0.5861  0.00

ΔE_f (raw) ... -0.91 eV per atom
Space group ... P4/mmm (123)
Relative energy among the computed polymorphs ... 72.2 meV/atom
Magnetic moment ... 5.0 μB/cell

***

(6)
Entry from Alexandria: a relaxed structure of BaMnCl2 (GGA-PBE).

Cell: 4.1610 4.1516 6.5567 Å, 90.00 90.00 90.00°
Site moments in Bohr magnetons follow the coordinates.
Sites, in units of the cell vectors:
1 Mn 0.0000 0.0000 0.3982  4.44
2 Ba 0.5000 0.5000 0.7875  -0.02
3 Cl 0.0000 0.0000 0.0085  0.03
4 Cl 0.5000 0.5000 0.3058  0.08

ΔE_f (raw) ... -0.95 eV per atom
Space group ... P4mm (99)
Relative energy among the computed polymorphs ... 29.6 meV/atom
Magnetic moment ... 5.0 μB/cell

***

(7)
Entry from Alexandria: a relaxed structure of Ba2MnCl (GGA-PBE).

Cell: 5.8816 5.8816 5.8816 Å, 60.00 60.00 60.00°
Site moments in Bohr magnetons follow the coordinates.
Sites, in units of the cell vectors:
1 Mn 0.5000 0.5000 0.5000  3.92
2 Ba 0.2500 0.2500 0.2500  -0.10
3 Ba 0.7500 0.7500 0.7500  -0.10
4 Cl 0.0000 0.0000 0.0000  0.01

ΔE_f (raw) ... -0.23 eV per atom
Space group ... Fm-3m (225)
Relative energy among the computed polymorphs ... 280.0 meV/atom
Magnetic moment ... 3.7 μB/cell

***

(8)
Entry from Alexandria: a relaxed structure of Ba2MnCl2 (GGA-PBE).

Cell: 9.0137 9.0137 3.8556 Å, 90.00 90.00 90.00°
Site moments in Bohr magnetons follow the coordinates.
Sites, in units of the cell vectors:
1 Mn 0.0000 0.0000 0.0000  3.99
2 Mn 0.5000 0.5000 0.0000  3.99
3 Ba 0.1781 0.6781 0.5000  -0.14
4 Ba 0.6781 0.8219 0.5000  -0.13
5 Ba 0.8219 0.3219 0.5000  -0.14
6 Ba 0.3219 0.1781 0.5000  -0.13
7 Cl 0.3746 0.8746 0.0000  0.01
8 Cl 0.8746 0.6254 0.0000  0.01
9 Cl 0.6254 0.1254 0.0000  0.01
10 Cl 0.1254 0.3746 0.0000  0.01

ΔE_f (raw) ... -0.95 eV per atom
Space group ... P4/mbm (127)
Relative energy among the computed polymorphs ... 43.0 meV/atom
Magnetic moment ... 7.2 μB/cell

***

(9)
Entry from Alexandria: a relaxed structure of BaNaMn2Cl8 (GGA-PBE).

Cell: 7.3096 7.3096 8.7859 Å, 90.00 90.00 120.00°
Site moments in Bohr magnetons follow the coordinates.
Sites, in units of the cell vectors:
1 Ba 0.0000 0.0000 0.0000  0.01
2 Na 0.0000 0.0000 0.5000  0.00
3 Mn 0.6667 0.3333 0.2056  3.95
4 Mn 0.3333 0.6667 0.7944  3.95
5 Cl 0.3333 0.6667 0.0477  0.04
6 Cl 0.3218 0.2125 0.2771  0.04
7 Cl 0.7875 0.1093 0.2771  0.04
8 Cl 0.6667 0.3333 0.9523  0.04
9 Cl 0.2125 0.8907 0.7229  0.04
10 Cl 0.6782 0.7875 0.7229  0.04
11 Cl 0.1093 0.3218 0.7229  0.04
12 Cl 0.8907 0.6782 0.2771  0.04

ΔE_f (raw) ... -1.45 eV per atom
Space group ... P-3 (147)
Magnetic moment ... 9.0 μB/cell

***

(10)
Entry from Alexandria: a relaxed structure of BaNaMnCl6 (GGA-PBE).

Cell: 6.7122 7.1035 6.5645 Å, 92.29 91.17 57.99°
Site moments in Bohr magnetons follow the coordinates.
Sites, in units of the cell vectors:
1 Ba 0.0072 0.9965 0.0009  0.01
2 Na 0.6389 0.6803 0.5011  0.00
3 Mn 0.3344 0.3327 0.4998  3.67
4 Cl 0.0431 0.3440 0.2956  -0.01
5 Cl 0.3490 0.0372 0.7431  0.05
6 Cl 0.6162 0.3434 0.6988  -0.01
7 Cl 0.0434 0.6145 0.7036  -0.01
8 Cl 0.3517 0.6123 0.2562  0.05
9 Cl 0.6159 0.0391 0.3009  -0.01

ΔE_f (raw) ... -1.63 eV per atom
Space group ... P1 (1)
Magnetic moment ... 4.0 μB/cell